(1)
Density functional theory data (PBE) for a relaxed structure of Cs2SnPdO4.

The total DFT energy (no corrections) is -5.00 eV/atom.

Lattice parameters (Å, degrees): 6.0378 5.0174 12.6611 90.00 90.00 90.00
Space group Amm2 (No. 38)
One atom of each set of equivalent atoms:
Cs: 0.0000 0.0000 0.0000 [2 per cell]
Cs: 0.5000 0.0000 0.3908 [2 per cell]
Sn: 0.5000 0.0000 0.6886 [2 per cell]
Pd: 0.0000 0.0000 0.6945 [2 per cell]
O: 0.2477 0.0000 0.5848 [4 per cell]
O: 0.2566 0.0000 0.7986 [4 per cell]

***

(2)
Density functional theory data (PBE) for a relaxed structure of Cs2ZrPdO4.

The total DFT energy (no corrections) is -5.98 eV/atom. The spin magnetization is 0.0001 μB/atom.

Lattice parameters (Å, degrees): 5.9346 5.0195 12.8728 90.00 90.00 90.00
Space group Amm2 (No. 38)
One atom of each set of equivalent atoms:
Cs: 0.0000 0.0000 0.0000 [2 per cell]
Cs: 0.5000 0.0000 0.3973 [2 per cell]
Zr: 0.5000 0.0000 0.6926 [2 per cell]
Pd: 0.0000 0.0000 0.6967 [2 per cell]
O: 0.2496 0.0000 0.5851 [4 per cell]
O: 0.2560 0.0000 0.8038 [4 per cell]

***

(3)
Density functional theory data (PBE) for a relaxed structure of Cs2Pm2O5.

The energy above the lowest structure with this stoichiometry comes out at 0 meV/atom. The spin magnetization is 0.2223 μB/atom.

Lattice parameters (Å, degrees): 4.4843 4.4843 9.8088 90.00 90.00 90.00
Space group P4/mmm (No. 123)
One atom of each set of equivalent atoms:
Cs: 0.0000 0.0000 0.0000 [1 per cell]
Cs: 0.0000 0.0000 0.5000 [1 per cell]
Pm: 0.5000 0.5000 0.2236 [2 per cell]
O: 0.0000 0.5000 0.2799 [4 per cell]
O: 0.5000 0.5000 0.0000 [1 per cell]

***

(4)
Density functional theory data (PBE) for a relaxed structure of CsPmO3.

The total DFT energy (no corrections) is -5.71 eV/atom. The spin magnetization is 0.0002 μB/atom.

Lattice parameters (Å, degrees): 6.2026 11.3401 5.4934 90.00 90.00 90.00
Space group Pnma (No. 62)
One atom of each set of equivalent atoms:
Cs: 0.0000 0.0000 0.0000 [4 per cell]
Pm: 0.0789 0.2500 0.4648 [4 per cell]
O: 0.1591 0.6170 0.7535 [8 per cell]
O: 0.1948 0.7500 0.2805 [4 per cell]

***

(5)
Density functional theory data (PBE) for a relaxed structure of Cs2Pm2O5.

The energy above the lowest structure with this stoichiometry comes out at 1515 meV/atom. The spin magnetization is 0.0004 μB/atom.

Lattice parameters (Å, degrees): 4.6621 4.6621 7.5231 90.00 90.00 90.00
Space group P4/mmm (No. 123)
One atom of each set of equivalent atoms:
Cs: 0.0000 0.0000 0.1969 [2 per cell]
Pm: 0.5000 0.5000 0.0000 [1 per cell]
Pm: 0.5000 0.5000 0.5000 [1 per cell]
O: 0.0000 0.0000 0.5000 [1 per cell]
O: 0.0000 0.5000 0.2512 [4 per cell]

***

(6)
Density functional theory data (PBE) for a relaxed structure of CsPmO3.

The total DFT energy (no corrections) is -5.33 eV/atom. The spin magnetization is 0.0025 μB/atom.

Lattice parameters (Å, degrees): 6.8391 6.8391 15.3109 90.00 90.00 120.00
Space group R-3c (No. 167, hexagonal axes)
One atom of each set of equivalent atoms:
Cs: 0.0000 0.0000 0.0000 [6 per cell]
Pm: 0.0000 0.0000 0.2500 [6 per cell]
O: 0.0000 0.3179 0.2500 [18 per cell]

***

(7)
Density functional theory data (PBE) for a relaxed structure of CsPmO3.

The total DFT energy (no corrections) is -5.85 eV/atom. The spin magnetization is 0.4000 μB/atom.

Lattice parameters (Å, degrees): 6.5460 6.5460 15.9682 90.00 90.00 120.00
Space group R-3c (No. 167, hexagonal axes)
One atom of each set of equivalent atoms:
Cs: 0.0000 0.0000 0.2500 [6 per cell]
Pm: 0.0000 0.0000 0.0000 [6 per cell]
O: 0.0000 0.4976 0.2500 [18 per cell]

***

(8)
Density functional theory data (PBE) for a relaxed structure of CsPmO3.

The total DFT energy (no corrections) is -5.64 eV/atom. The spin magnetization is 0.0068 μB/atom.

Lattice parameters (Å, degrees): 3.3952 3.3952 7.6426 90.00 90.00 90.00
Space group P4mm (No. 99)
One atom of each set of equivalent atoms:
Cs: 0.0000 0.0000 0.0000 [1 per cell]
Pm: 0.5000 0.5000 0.5103 [1 per cell]
O: 0.0000 0.0000 0.6158 [1 per cell]
O: 0.0000 0.5000 0.2903 [2 per cell]

***

(9)
Density functional theory data (PBE) for a relaxed structure of CsPmO3.

The total DFT energy (no corrections) is -5.85 eV/atom. The spin magnetization is 0.3998 μB/atom.

Lattice parameters (Å, degrees): 4.5962 4.5962 4.6674 90.00 90.00 90.00
Space group P4mm (No. 99)
One atom of each set of equivalent atoms:
Cs: 0.0000 0.0000 0.0000 [1 per cell]
Pm: 0.5000 0.5000 0.4987 [1 per cell]
O: 0.0000 0.5000 0.5027 [2 per cell]
O: 0.5000 0.5000 0.9992 [1 per cell]

***

(10)
Density functional theory data (PBE) for a relaxed structure of CsPm2O4.

The total DFT energy (no corrections) is -6.83 eV/atom. The spin magnetization is 0.1428 μB/atom.

Lattice parameters (Å, degrees): 10.4555 10.4555 10.4555 90.00 90.00 90.00
Space group Fd-3m (No. 227, origin choice 2)
One atom of each set of equivalent atoms:
Cs: 0.1250 0.1250 0.1250 [8 per cell]
Pm: 0.0000 0.0000 0.5000 [16 per cell]
O: 0.0255 0.0255 0.7245 [32 per cell]

***

(11)
Density functional theory data (PBE) for a relaxed structure of CsPmO3.

The total DFT energy (no corrections) is -5.84 eV/atom. The spin magnetization is 0.4000 μB/atom.

Lattice parameters (Å, degrees): 6.5191 9.1678 6.4539 90.00 90.00 90.00
Space group Pnma (No. 62)
One atom of each set of equivalent atoms:
Cs: 0.0007 0.2500 0.9998 [4 per cell]
Pm: 0.0000 0.0000 0.5000 [4 per cell]
O: 0.0025 0.2500 0.4957 [4 per cell]
O: 0.2460 0.5026 0.2460 [8 per cell]

***

(12)
Density functional theory data (PBE) for a relaxed structure of CsPmO3.

The total DFT energy (no corrections) is -5.85 eV/atom. The spin magnetization is 0.4000 μB/atom.

Lattice parameters (Å, degrees): 4.6157 4.6157 4.6157 90.00 90.00 90.00
Space group Pm-3m (No. 221)
One atom of each set of equivalent atoms:
Cs: 0.0000 0.0000 0.0000 [1 per cell]
Pm: 0.5000 0.5000 0.5000 [1 per cell]
O: 0.0000 0.5000 0.5000 [3 per cell]

***

(13)
Density functional theory data (PBE) for a relaxed structure of CsPmSeO.

The energy above the lowest structure with this stoichiometry comes out at 19 meV/atom. The spin magnetization is 0.0000 μB/atom.

Lattice parameters (Å, degrees): 8.4782 7.7141 6.9377 90.00 101.48 90.00
Space group P2_1/c (No. 14)
One atom of each set of equivalent atoms:
Cs: 0.0867 0.2189 0.4819 [4 per cell]
Pm: 0.4784 0.6294 0.7809 [4 per cell]
Se: 0.2603 0.5921 0.3675 [4 per cell]
O: 0.4137 0.1463 0.3854 [4 per cell]

***

(14)
Density functional theory data (PBE) for a relaxed structure of CsPmSeO.

The energy above the lowest structure with this stoichiometry comes out at 354 meV/atom. The spin magnetization is 0.0002 μB/atom.

Lattice parameters (Å, degrees): 4.5081 4.5081 10.2196 90.00 90.00 90.00
Space group P4/nmm (No. 129, origin choice 2)
One atom of each set of equivalent atoms:
Cs: 0.2500 0.7500 0.0000 [2 per cell]
Pm: 0.2500 0.2500 0.4186 [2 per cell]
Se: 0.2500 0.2500 0.7520 [2 per cell]
O: 0.2500 0.7500 0.5000 [2 per cell]

***

(15)
Density functional theory data (PBE) for a relaxed structure of CsPmSeO.

The energy above the lowest structure with this stoichiometry comes out at 0 meV/atom. The spin magnetization is 0.0006 μB/atom.

Lattice parameters (Å, degrees): 5.9557 5.9564 13.2523 90.00 102.39 90.00
Space group P2_1 (No. 4)
One atom of each set of equivalent atoms:
Cs: 0.0694 0.0000 0.1172 [2 per cell]
Cs: 0.4298 0.9973 0.8817 [2 per cell]
Pm: 0.0392 0.2457 0.5829 [2 per cell]
Pm: 0.4607 0.2455 0.4171 [2 per cell]
Se: 0.1326 0.5003 0.2458 [2 per cell]
Se: 0.3682 0.4981 0.7541 [2 per cell]
O: 0.2500 0.4952 0.5000 [2 per cell]
O: 0.2501 0.9953 0.5000 [2 per cell]

***

(16)
Density functional theory data (PBE) for a relaxed structure of CsPmSeO.

The energy above the lowest structure with this stoichiometry comes out at 86 meV/atom. The spin magnetization is 0.0001 μB/atom.

Lattice parameters (Å, degrees): 4.7143 8.8422 7.0619 90.00 90.00 90.00
Space group Pmc2_1 (No. 26)
One atom of each set of equivalent atoms:
Cs: 0.0000 0.1960 0.0000 [2 per cell]
Pm: 0.5000 0.3827 0.4334 [2 per cell]
Se: 0.0000 0.2094 0.5067 [2 per cell]
O: 0.5000 0.4254 0.1273 [2 per cell]

***

(17)
Density functional theory data (PBE) for a relaxed structure of CsPmTeO.

The energy above the lowest structure with this stoichiometry comes out at 347 meV/atom. The spin magnetization is 0.0003 μB/atom.

Lattice parameters (Å, degrees): 4.5455 4.5455 10.9503 90.00 90.00 90.00
Space group P4/nmm (No. 129, origin choice 2)
One atom of each set of equivalent atoms:
Cs: 0.2500 0.7500 0.0000 [2 per cell]
Pm: 0.2500 0.2500 0.4222 [2 per cell]
Te: 0.2500 0.2500 0.7482 [2 per cell]
O: 0.2500 0.7500 0.5000 [2 per cell]

***

(18)
Density functional theory data (PBE) for a relaxed structure of CsPmTeO.

The energy above the lowest structure with this stoichiometry comes out at 154 meV/atom. The spin magnetization is 0.0001 μB/atom.

Lattice parameters (Å, degrees): 5.0376 9.1043 7.3409 90.00 90.00 90.00
Space group Pmc2_1 (No. 26)
One atom of each set of equivalent atoms:
Cs: 0.0000 0.2094 0.0000 [2 per cell]
Pm: 0.5000 0.3950 0.4152 [2 per cell]
Te: 0.0000 0.2146 0.5052 [2 per cell]
O: 0.5000 0.4293 0.1170 [2 per cell]

***

(19)
Density functional theory data (PBE) for a relaxed structure of CsPmTeO.

The energy above the lowest structure with this stoichiometry comes out at 0 meV/atom. The spin magnetization is 0.0003 μB/atom.

Lattice parameters (Å, degrees): 9.7225 7.7104 6.9125 90.00 98.16 90.00
Space group P2_1/c (No. 14)
One atom of each set of equivalent atoms:
Cs: 0.1316 0.0951 0.3351 [4 per cell]
Pm: 0.4912 0.6367 0.7895 [4 per cell]
Te: 0.2617 0.5774 0.3802 [4 per cell]
O: 0.4307 0.1390 0.3870 [4 per cell]

***

(20)
Density functional theory data (PBE) for a relaxed structure of Cs2Pr2O5.

The energy above the lowest structure with this stoichiometry comes out at 0 meV/atom. The spin magnetization is 0.2224 μB/atom.

Lattice parameters (Å, degrees): 4.5729 4.5729 9.8098 90.00 90.00 90.00
Space group P4/mmm (No. 123)
One atom of each set of equivalent atoms:
Cs: 0.0000 0.0000 0.0000 [1 per cell]
Cs: 0.0000 0.0000 0.5000 [1 per cell]
Pr: 0.5000 0.5000 0.2274 [2 per cell]
O: 0.0000 0.5000 0.2798 [4 per cell]
O: 0.5000 0.5000 0.0000 [1 per cell]

***

(21)
Density functional theory data (PBE) for a relaxed structure of Cs2Pr2O5.

The energy above the lowest structure with this stoichiometry comes out at 1385 meV/atom. The spin magnetization is 0.0004 μB/atom.

Lattice parameters (Å, degrees): 4.6693 4.6693 7.5770 90.00 90.00 90.00
Space group P4/mmm (No. 123)
One atom of each set of equivalent atoms:
Cs: 0.0000 0.0000 0.1967 [2 per cell]
Pr: 0.5000 0.5000 0.0000 [1 per cell]
Pr: 0.5000 0.5000 0.5000 [1 per cell]
O: 0.0000 0.0000 0.5000 [1 per cell]
O: 0.0000 0.5000 0.2488 [4 per cell]

***

(22)
Density functional theory data (PBE) for a relaxed structure of Cs2PrO3.

The total DFT energy (no corrections) is -5.40 eV/atom. The spin magnetization is 0.1668 μB/atom.

Lattice parameters (Å, degrees): 11.6411 7.5959 6.5840 90.00 90.00 90.00
Space group Cmc2_1 (No. 36)
One atom of each set of equivalent atoms:
Cs: 0.1656 0.1432 0.0000 [8 per cell]
Pr: 0.0000 0.3991 0.4662 [4 per cell]
O: 0.0000 0.1192 0.3760 [4 per cell]
O: 0.1273 0.4788 0.7298 [8 per cell]